This record from Alexandria describes crystalline LaPm2NdH at its relaxed geometry. The functional is PBE.

Lattice parameters (Å, degrees): 5.176 5.176 5.186 90.00 90.00 90.00
Space group P4/mmm (No. 123)
Asymmetric unit:
La1 0.000 0.000 0.000 [1 per cell]
Pm1 0.000 0.500 0.500 [2 per cell]
Nd1 0.500 0.500 0.000 [1 per cell]
H1 0.500 0.500 0.500 [1 per cell]

## Properties
**Total magnetization**: 0.00 μB per cell
**Raw total energy**: -4.69 eV per atom